## K5IO5 (PBE)

Data for K5IO5 after structural relaxation.

```
data_K5IO5
_cell_length_a 11.798
_cell_length_b 5.527
_cell_length_c 7.278
_cell_angle_alpha 90.00
_cell_angle_beta 109.44
_cell_angle_gamma 90.00
_symmetry_space_group_name_H-M 'C 1 2 1'
_symmetry_Int_Tables_number 5
loop_
_symmetry_equiv_pos_as_xyz
'x,y,z'
'-x,y,-z'
'x+1/2,y+1/2,z'
'-x+1/2,y+1/2,-z'
loop_
_atom_site_label
_atom_site_fract_x
_atom_site_fract_y
_atom_site_fract_z
_atom_site_occupancy
K1 0.000 0.000 0.000 1
K2 0.170 0.512 0.348 1
K3 0.190 0.518 0.809 1
I1 0.000 0.007 0.500 1
O1 0.000 0.665 0.500 1
O2 0.129 0.007 0.363 1
O3 0.138 0.011 0.775 1
```

## Properties
The value obtained for the uncorrected formation energy is -1.136 eV/atom. Its density of states at the Fermi level is 0.000 states/eV/f.u. Its spin magnetization is 0.00 Bohr magnetons per cell.


## CaLa2Ag (PBE)

Data for CaLa2Ag after structural relaxation.

```
data_CaLa2Ag
_cell_length_a 3.962
_cell_length_b 5.099
_cell_length_c 6.723
_cell_angle_alpha 90.00
_cell_angle_beta 103.52
_cell_angle_gamma 90.00
_symmetry_space_group_name_H-M 'P 1 2/m 1'
_symmetry_Int_Tables_number 10
loop_
_symmetry_equiv_pos_as_xyz
'x,y,z'
'-x,-y,-z'
'-x,y,-z'
'x,-y,z'
loop_
_atom_site_label
_atom_site_fract_x
_atom_site_fract_y
_atom_site_fract_z
_atom_site_occupancy
Ca1 0.000 0.000 0.000 1
La1 0.395 0.500 0.717 1
Ag1 0.000 0.000 0.500 1
```

## Properties
As for the offset from the most stable computed form: 0.088 eV/atom. Its density of states at the Fermi level is 5.272 states/eV/f.u. Its spin magnetization is 0.00 Bohr magnetons per cell. The energy of formation comes out at -0.01 eV/f.u.


## CdSnH6Rh2 (PBE)

Data for CdSnH6Rh2 after structural relaxation.

```
data_CdSnH6Rh2
_cell_length_a 8.221
_cell_length_b 10.232
_cell_length_c 5.583
_cell_angle_alpha 90.00
_cell_angle_beta 117.30
_cell_angle_gamma 90.00
_symmetry_space_group_name_H-M 'C 1 2/c 1'
_symmetry_Int_Tables_number 15
loop_
_symmetry_equiv_pos_as_xyz
'x,y,z'
'-x,-y,-z'
'-x,y,-z+1/2'
'x,-y,z+1/2'
'x+1/2,y+1/2,z'
'-x+1/2,-y+1/2,-z'
'-x+1/2,y+1/2,-z+1/2'
'x+1/2,-y+1/2,z+1/2'
loop_
_atom_site_label
_atom_site_fract_x
_atom_site_fract_y
_atom_site_fract_z
_atom_site_occupancy
Cd1 0.000 0.058 0.250 1
Sn1 0.000 0.333 0.750 1
H1 0.111 0.290 0.253 1
H2 0.151 0.169 0.728 1
H3 0.214 0.417 0.570 1
Rh1 0.184 0.435 0.241 1
```

## Properties
Its density of states at the Fermi level is 1.798 states/eV/f.u. The calculated total energy is -3.941 eV/atom. Its spin magnetization is 0.00 Bohr magnetons per cell.


## AlGaSb2 (PBE)

Data for AlGaSb2 after structural relaxation.

```
data_AlGaSb2
_cell_length_a 4.2540
_cell_length_b 4.2540
_cell_length_c 24.0248
_cell_angle_alpha 90.00
_cell_angle_beta 90.00
_cell_angle_gamma 120.00
_symmetry_space_group_name_H-M 'R -3 m'
_symmetry_Int_Tables_number 166
_symmetry_space_group_name_Hall '-R 3 2"'
loop_
_atom_site_label
_atom_site_fract_x
_atom_site_fract_y
_atom_site_fract_z
_atom_site_occupancy
Al1 0.0000 0.0000 0.0000 1
Ga1 0.0000 0.0000 0.5000 1
Sb1 0.0000 0.0000 0.3912 1
```

## Properties
As for the offset from the most stable computed form: 0.465 eV/atom. The value obtained for the uncorrected formation energy is 0.301 eV/atom. Its density of states at the Fermi level is 1.991 states/eV/f.u. Its spin magnetization is 0.00 Bohr magnetons per cell.


## LiCrAg2 (PBE)

Data for LiCrAg2 after structural relaxation.

```
data_LiCrAg2
_cell_length_a 4.801
_cell_length_b 3.004
_cell_length_c 5.033
_cell_angle_alpha 90.00
_cell_angle_beta 109.39
_cell_angle_gamma 90.00
_symmetry_space_group_name_H-M 'P 1 2/m 1'
_symmetry_Int_Tables_number 10
loop_
_symmetry_equiv_pos_as_xyz
'x,y,z'
'-x,-y,-z'
'-x,y,-z'
'x,-y,z'
loop_
_atom_site_label
_atom_site_fract_x
_atom_site_fract_y
_atom_site_fract_z
_atom_site_occupancy
Li1 0.000 0.000 0.000 1
Cr1 0.000 0.500 0.500 1
Ag1 0.500 0.000 0.500 1
Ag2 0.500 0.500 0.000 1
```

## Properties
As for the offset from the most stable computed form: 0.096 eV/atom. Its density of states at the Fermi level is 1.679 states/eV/f.u. Its spin magnetization is 4.45 Bohr magnetons per cell. The energy of formation comes out at 1.01 eV/f.u.


## Ce2CrN3 (PBE)

Data for Ce2CrN3 after structural relaxation.

```
data_Ce2CrN3
_cell_length_a 3.459
_cell_length_b 3.740
_cell_length_c 12.586
_cell_angle_alpha 90.00
_cell_angle_beta 90.00
_cell_angle_gamma 90.00
_symmetry_space_group_name_H-M 'I m m m'
_symmetry_Int_Tables_number 71
_symmetry_space_group_name_Hall '-I 2 2'
loop_
_atom_site_label
_atom_site_fract_x
_atom_site_fract_y
_atom_site_fract_z
_atom_site_occupancy
Ce1 0.000 0.000 0.147 1
Cr1 0.000 0.000 0.500 1
N1 0.000 0.000 0.336 1
N2 0.000 0.500 0.500 1
```

## Properties
The value obtained for the uncorrected formation energy is -1.270 eV/atom. Its density of states at the Fermi level is 4.893 states/eV/f.u. Its spin magnetization is 2.36 Bohr magnetons per cell.


## Be2VBiIr (PBE)

Data for Be2VBiIr after structural relaxation.

```
data_Be2VBiIr
_cell_length_a 4.441
_cell_length_b 4.441
_cell_length_c 4.537
_cell_angle_alpha 90.00
_cell_angle_beta 90.00
_cell_angle_gamma 90.00
_symmetry_space_group_name_H-M 'P 4/m m m'
_symmetry_Int_Tables_number 123
_symmetry_space_group_name_Hall '-P 4 2'
loop_
_atom_site_label
_atom_site_fract_x
_atom_site_fract_y
_atom_site_fract_z
_atom_site_occupancy
Be1 0.000 0.500 0.000 1
V1 0.000 0.000 0.000 1
Bi1 0.500 0.500 0.500 1
Ir1 0.000 0.000 0.500 1
```

## Properties
As for the offset from the most stable computed form: 0.000 eV/atom. Its density of states at the Fermi level is 3.449 states/eV/f.u. Its spin magnetization is 0.00 Bohr magnetons per cell. The energy of formation comes out at 5.01 eV/f.u.


## K2BaSc (PBE)

Data for K2BaSc after structural relaxation.

```
data_K2BaSc
_cell_length_a 5.427
_cell_length_b 5.427
_cell_length_c 13.854
_cell_angle_alpha 90.00
_cell_angle_beta 90.00
_cell_angle_gamma 90.00
_symmetry_space_group_name_H-M 'I 4/m m m'
_symmetry_Int_Tables_number 139
_symmetry_space_group_name_Hall '-I 4 2'
loop_
_atom_site_label
_atom_site_fract_x
_atom_site_fract_y
_atom_site_fract_z
_atom_site_occupancy
K1 0.000 0.500 0.250 1
Ba1 0.000 0.000 0.000 1
Sc1 0.000 0.000 0.500 1
```

## Properties
As for the offset from the most stable computed form: 0.153 eV/atom. Its density of states at the Fermi level is 5.716 states/eV/f.u. Its spin magnetization is 1.73 Bohr magnetons per cell. The energy of formation comes out at 2.05 eV/f.u.


## CsScMo3 (PBE)

Data for CsScMo3 after structural relaxation.

```
data_CsScMo3
_cell_length_a 4.922
_cell_length_b 4.922
_cell_length_c 4.922
_cell_angle_alpha 90.00
_cell_angle_beta 90.00
_cell_angle_gamma 90.00
_symmetry_space_group_name_H-M 'P m -3 m'
_symmetry_Int_Tables_number 221
_symmetry_space_group_name_Hall '-P 4 2 3'
loop_
_atom_site_label
_atom_site_fract_x
_atom_site_fract_y
_atom_site_fract_z
_atom_site_occupancy
Cs1 0.000 0.000 0.000 1
Sc1 0.500 0.500 0.500 1
Mo1 0.000 0.000 0.500 1
```

## Properties
As for the offset from the most stable computed form: 0.408 eV/atom. Its density of states at the Fermi level is 6.708 states/eV/f.u. Its spin magnetization is 2.18 Bohr magnetons per cell. The energy of formation comes out at 13.87 eV/f.u.


## Yb2Al9Ir3 (PBE)

Data for Yb2Al9Ir3 after structural relaxation.

```
data_Yb2Al9Ir3
_cell_length_a 12.997
_cell_length_b 7.599
_cell_length_c 9.577
_cell_angle_alpha 90.00
_cell_angle_beta 90.00
_cell_angle_gamma 90.00
_symmetry_space_group_name_H-M 'C m c m'
_symmetry_Int_Tables_number 63
_symmetry_space_group_name_Hall '-C 2c 2'
loop_
_atom_site_label
_atom_site_fract_x
_atom_site_fract_y
_atom_site_fract_z
_atom_site_occupancy
Yb1 0.162 0.166 0.250 1
Al1 0.000 0.130 0.750 1
Al2 0.000 0.334 0.051 1
Al3 0.106 0.443 0.750 1
Al4 0.167 0.169 0.573 1
Ir1 0.000 0.000 0.000 1
Ir2 0.172 0.500 0.000 1
```

## Properties
Its density of states at the Fermi level is 30.370 states/eV/f.u. Its spin magnetization is 1.57 Bohr magnetons per cell. The energy of formation comes out at -11.04 eV/f.u.


## BTeRhAu (PBE)

Data for BTeRhAu after structural relaxation.

```
data_BTeRhAu
_cell_length_a 9.504
_cell_length_b 3.195
_cell_length_c 6.830
_cell_angle_alpha 90.00
_cell_angle_beta 130.04
_cell_angle_gamma 90.00
_symmetry_space_group_name_H-M 'C 1 m 1'
_symmetry_Int_Tables_number 8
loop_
_symmetry_equiv_pos_as_xyz
'x,y,z'
'x,-y,z'
'x+1/2,y+1/2,z'
'x+1/2,-y+1/2,z'
loop_
_atom_site_label
_atom_site_fract_x
_atom_site_fract_y
_atom_site_fract_z
_atom_site_occupancy
B1 0.000 0.000 0.000 1
Te1 0.456 0.500 0.403 1
Rh1 0.109 0.500 0.234 1
Au1 0.359 0.000 0.711 1
```

## Properties
As for the offset from the most stable computed form: 0.042 eV/atom. The value obtained for the uncorrected formation energy is 0.122 eV/atom. Its density of states at the Fermi level is 1.668 states/eV/f.u. Its spin magnetization is 0.00 Bohr magnetons per cell.


## Er4TmIr5 (PBE)

Data for Er4TmIr5 after structural relaxation.

```
data_Er4TmIr5
_cell_length_a 3.317
_cell_length_b 3.317
_cell_length_c 17.713
_cell_angle_alpha 90.00
_cell_angle_beta 90.00
_cell_angle_gamma 90.00
_symmetry_space_group_name_H-M 'P 4/m m m'
_symmetry_Int_Tables_number 123
_symmetry_space_group_name_Hall '-P 4 2'
loop_
_atom_site_label
_atom_site_fract_x
_atom_site_fract_y
_atom_site_fract_z
_atom_site_occupancy
Er1 0.000 0.000 0.100 1
Er2 0.000 0.000 0.301 1
Tm1 0.000 0.000 0.500 1
Ir1 0.500 0.500 0.000 1
Ir2 0.500 0.500 0.200 1
Ir3 0.500 0.500 0.401 1
```

## Properties
Its density of states at the Fermi level is 2.275 states/eV/f.u. Its spin magnetization is 0.00 Bohr magnetons per cell. The energy of formation comes out at -8.85 eV/f.u.


Repeat the second record exactly.
## CaLa2Ag (PBE)

Data for CaLa2Ag after structural relaxation.

```
data_CaLa2Ag
_cell_length_a 3.962
_cell_length_b 5.099
_cell_length_c 6.723
_cell_angle_alpha 90.00
_cell_angle_beta 103.52
_cell_angle_gamma 90.00
_symmetry_space_group_name_H-M 'P 1 2/m 1'
_symmetry_Int_Tables_number 10
loop_
_symmetry_equiv_pos_as_xyz
'x,y,z'
'-x,-y,-z'
'-x,y,-z'
'x,-y,z'
loop_
_atom_site_label
_atom_site_fract_x
_atom_site_fract_y
_atom_site_fract_z
_atom_site_occupancy
Ca1 0.000 0.000 0.000 1
La1 0.395 0.500 0.717 1
Ag1 0.000 0.000 0.500 1
```

## Properties
As for the offset from the most stable computed form: 0.088 eV/atom. Its density of states at the Fermi level is 5.272 states/eV/f.u. Its spin magnetization is 0.00 Bohr magnetons per cell. The energy of formation comes out at -0.01 eV/f.u.


Question: Look up the spin magnetization of the eleventh one.
Answer: 0.00 Bohr magnetons per cell


Question: The highest spin magnetization belongs to which entry?
Answer: LiCrAg2


Question: Among the records above, which one has the highest spin magnetization?
Answer: LiCrAg2